Density functional theory data (PBE) for a relaxed NdYTl2S4 crystal.

Cell: 4.110 7.120 7.876 Å, 107.53 90.00 90.00°
Positions (direct):
Tl (0.000, 0.500, 0.500)
Tl (0.500, 0.000, 0.500)
S (0.500, 0.774, 0.800)
S (0.000, 0.742, 0.203)
S (0.500, 0.226, 0.200)
S (0.000, 0.258, 0.797)
Nd (0.500, 0.500, 0.000)
Y (0.000, 0.000, 0.000)

Properties
Symmetry: P2/m (10)
Total moment, μB per atom: 0.000
Total DFT energy (no corrections), eV per cell: -44.23
E_form (uncorrected), eV/atom: -1.470